1.
## MgReAg2Br (PBE)

Data for a relaxed MgReAg2Br crystal.

```
MgReAg2Br
1.0
-4.786 1.526 0.980
-1.412 -1.912 -3.923
-0.897 -4.395 2.464
Re Mg Br Ag
1 1 1 2
Direct
0.000 0.500 0.000
0.500 0.500 0.500
0.000 0.000 0.000
0.000 0.000 0.500
0.500 0.000 0.000
```

Computed properties:
formation energy (no corrections): 1420 meV/atom
SG: P4/mmm
M_tot: 0.00 μB/f.u.
total energy: -2.863 eV per atom

---

2.
## GaTeCl2 (PBE)

Data for a relaxed GaTeCl2 crystal.

```
GaTeCl2
1.0
0.000 3.778 3.778
3.778 0.000 3.778
3.778 3.778 0.000
Te Ga Cl
1 1 2
Direct
0.500 0.500 0.500
0.000 0.000 0.000
0.250 0.250 0.250
0.750 0.750 0.750
```

Computed properties:
formation energy (no corrections): 35 meV/atom
ΔE to the lowest computed polymorph: 648.9 meV per atom
SG: Fm-3m
M_tot: 2.73 μB/f.u.
total energy: -2.430 eV per atom

---

3.
## Hg3BBr (PBE)

Data for a relaxed Hg3BBr crystal.

```
Hg3BBr
1.0
-2.509 3.498 2.134
2.078 -1.071 4.197
3.531 3.115 -0.954
B Hg Br
1 3 1
Direct
0.000 0.000 0.000
0.000 0.500 0.000
0.000 0.000 0.500
0.500 0.000 0.000
0.500 0.500 0.500
```

Computed properties:
formation energy (no corrections): 246 meV/atom
ΔE to the lowest computed polymorph: 0.0 meV per atom
SG: Pm-3m
M_tot: 0.00 μB/f.u.
total energy: -1.605 eV per atom